A plane-wave DFT calculation with GGA-PBE was carried out for an optimized crystal structure of BaNa2CdSb2.

```
12
Lattice="-4.704 0.135 1.469 -2.391 -3.537 -7.333 0.925 -8.358 3.730" Properties=species:S:1:pos:R:3 pbc="T T T"
Ba -1.966 -7.141 -5.643
Ba -0.651 -6.458 -1.492
Na -2.381 -0.658 0.710
Na -0.707 -2.657 -2.021
Na -2.781 -9.610 0.249
Na -1.284 -10.015 -3.193
Cd -2.064 -6.217 2.233
Cd -3.611 -4.812 -2.850
Sb 0.240 -7.916 1.496
Sb -2.681 -4.022 0.057
Sb -1.603 -3.827 -4.784
Sb -3.636 -7.956 -2.642
```

Computed properties:
**Density of states at the Fermi level**: 0.065 states/eV per atom
**Crystal system**: orthorhombic
**Formation energy from raw total energies**: -614 meV per atom
**Calculated volume**: 32.068 Å³ per atom
**Total energy**: -2.90 eV per atom
**Density**: 4.65 Mg/m³
**Space group**: Pmc2_1